Record 1
Material: LuGaCuPt
Method: DFT, PBE-GGA
State: relaxed

Computed properties:
The magnetization is 0.003 Bohr magnetons per cell. The value obtained for the energy above the most stable polymorph in this dataset is 0.021 eV/atom. Its space group is P-6m2, No. 187. For the total energy, the calculation gives -40.76 eV for the cell shown.

Unit cell a=4.3375 b=4.3375 c=8.6739 alpha=90.00 beta=90.00 gamma=120.00
Closest atoms and distances in Å follow each position.
Positions (direct):
1 Lu 0.0000 0.0000 0.0000  6 Pt 2.93, 2 Cu 2.95
2 Lu 0.3333 0.6667 0.5000  2 Pt 2.81, 6 Cu 2.86
3 Ga 0.6667 0.3333 0.2492  3 Pt 2.58, 3 Cu 2.63
4 Ga 0.6667 0.3333 0.7508  3 Pt 2.58, 3 Cu 2.63
5 Cu 0.0000 0.0000 0.3404  3 Ga 2.63, 1 Cu 2.77, 3 Lu 2.86, 3 Pt 2.88
6 Cu 0.0000 0.0000 0.6596  3 Ga 2.63, 1 Cu 2.77, 3 Lu 2.86, 3 Pt 2.88
7 Pt 0.3333 0.6667 0.1757  3 Ga 2.58, 1 Lu 2.81, 3 Cu 2.88
8 Pt 0.3333 0.6667 0.8243  3 Ga 2.58, 1 Lu 2.81, 3 Cu 2.88

***

Record 2
Material: LuGaCuPt
Method: DFT, PBE-GGA
State: relaxed

Computed properties:
The magnetization is 0.000 Bohr magnetons per cell. The value obtained for the energy above the most stable polymorph in this dataset is 0.101 eV/atom. Its space group is F-43m, No. 216. For the total energy, the calculation gives -20.06 eV for the cell shown.

Unit cell a=4.5743 b=4.5743 c=4.5743 alpha=60.00 beta=60.00 gamma=60.00
Closest atoms and distances in Å follow each position.
Positions (direct):
1 Lu 0.0000 0.0000 0.0000  4 Cu 2.80, 4 Pt 2.80
2 Ga 0.5000 0.5000 0.5000  4 Cu 2.80, 4 Pt 2.80
3 Cu 0.7500 0.7500 0.7500  4 Lu 2.80, 4 Ga 2.80
4 Pt 0.2500 0.2500 0.2500  4 Ga 2.80, 4 Lu 2.80

***

Record 3
Material: LuGaCuPt
Method: DFT, PBE-GGA
State: relaxed

Computed properties:
The magnetization is 0.002 Bohr magnetons per cell. The value obtained for the energy above the most stable polymorph in this dataset is 0.025 eV/atom. Its space group is P-3m1, No. 164. For the total energy, the calculation gives -40.72 eV for the cell shown.

Unit cell a=4.3389 b=4.3389 c=8.6189 alpha=90.00 beta=90.00 gamma=120.00
Closest atoms and distances in Å follow each position.
Positions (direct):
1 Lu 0.3333 0.6667 0.2501  4 Cu 2.82-2.92, 4 Pt 2.83-2.99
2 Lu 0.6667 0.3333 0.7499  4 Cu 2.82-2.92, 4 Pt 2.83-2.99
3 Ga 0.0000 0.0000 0.0000  6 Cu 2.59
4 Ga 0.0000 0.0000 0.5000  6 Pt 2.64
5 Cu 0.3333 0.6667 0.9230  3 Ga 2.59, 1 Pt 2.80, 1 Lu 2.82, 3 Cu 2.84
6 Cu 0.6667 0.3333 0.0770  3 Ga 2.59, 1 Pt 2.80, 1 Lu 2.82, 3 Cu 2.84
7 Pt 0.3333 0.6667 0.5975  3 Ga 2.64, 1 Cu 2.80, 3 Lu 2.83
8 Pt 0.6667 0.3333 0.4025  3 Ga 2.64, 1 Cu 2.80, 3 Lu 2.83

***

Record 4
Material: Lu2Ga2Cu3Pt
Method: DFT, PBE-GGA
State: relaxed

Computed properties:
The magnetization is 0.001 Bohr magnetons per cell. Its space group is P3m1, No. 156. For the total energy, the calculation gives -36.95 eV for the cell shown.

Unit cell a=4.3058 b=4.3058 c=8.4829 alpha=90.00 beta=90.00 gamma=120.00
Closest atoms and distances in Å follow each position.
Positions (direct):
1 Lu 0.0000 0.0000 0.0000  5 Cu 2.85-2.89, 3 Pt 2.86
2 Lu 0.3333 0.6667 0.4973  7 Cu 2.77-2.84, 1 Pt 2.85
3 Ga 0.6667 0.3333 0.2566  6 Cu 2.58-2.59
4 Ga 0.6667 0.3333 0.7518  3 Pt 2.58, 3 Cu 2.61
5 Cu 0.0000 0.0000 0.3364  3 Ga 2.58, 4 Cu 2.74-2.86, 4 Lu 2.84-2.85
6 Cu 0.0000 0.0000 0.6596  3 Ga 2.61, 1 Cu 2.74, 4 Lu 2.84-2.89, 3 Pt 2.89
7 Cu 0.3333 0.6667 0.1707  3 Ga 2.59, 4 Lu 2.77-2.88, 3 Cu 2.86, 1 Pt 2.86
8 Pt 0.3333 0.6667 0.8336  3 Ga 2.58, 4 Lu 2.85-2.86, 1 Cu 2.86

***

Record 5
Material: LuGaCuPt
Method: DFT, PBE-GGA
State: relaxed

Computed properties:
The magnetization is 0.000 Bohr magnetons per cell. The value obtained for the energy above the most stable polymorph in this dataset is 0.246 eV/atom. Its space group is F-43m, No. 216. For the total energy, the calculation gives -19.48 eV for the cell shown.

Unit cell a=4.6089 b=4.6089 c=4.6089 alpha=60.00 beta=60.00 gamma=60.00
Closest atoms and distances in Å follow each position.
Positions (direct):
1 Lu 0.0000 0.0000 0.0000  4 Pt 2.82, 4 Ga 2.82
2 Ga 0.2500 0.2500 0.2500  4 Cu 2.82, 4 Lu 2.82
3 Cu 0.5000 0.5000 0.5000  4 Pt 2.82, 4 Ga 2.82
4 Pt 0.7500 0.7500 0.7500  4 Cu 2.82, 4 Lu 2.82

***

Record 6
Material: LuScGaCu
Method: DFT, PBE-GGA
State: relaxed

Computed properties:
The magnetization is 0.115 Bohr magnetons per cell. The value obtained for the energy above the most stable polymorph in this dataset is 0.000 eV/atom. Its space group is F-43m, No. 216. For the total energy, the calculation gives -17.69 eV for the cell shown.

Unit cell a=4.7780 b=4.7780 c=4.7780 alpha=60.00 beta=60.00 gamma=60.00
Closest atoms and distances in Å follow each position.
Positions (direct):
1 Lu 0.0000 0.0000 0.0000  4 Sc 2.93, 4 Cu 2.93
2 Sc 0.2500 0.2500 0.2500  4 Ga 2.93, 4 Lu 2.93
3 Ga 0.5000 0.5000 0.5000  4 Cu 2.93, 4 Sc 2.93
4 Cu 0.7500 0.7500 0.7500  4 Lu 2.93, 4 Ga 2.93

***

Record 7
Material: LuTaGaCu
Method: DFT, PBE-GGA
State: relaxed

Computed properties:
The magnetization is 1.788 Bohr magnetons per cell. The value obtained for the energy above the most stable polymorph in this dataset is 0.000 eV/atom. Its space group is F-43m, No. 216. For the total energy, the calculation gives -21.68 eV for the cell shown.

Unit cell a=4.6945 b=4.6945 c=4.6945 alpha=60.00 beta=60.00 gamma=60.00
Closest atoms and distances in Å follow each position.
Positions (direct):
1 Lu 0.0000 0.0000 0.0000  4 Cu 2.87, 4 Ta 2.87
2 Ta 0.2500 0.2500 0.2500  4 Ga 2.87, 4 Lu 2.87
3 Ga 0.5000 0.5000 0.5000  4 Cu 2.87, 4 Ta 2.87
4 Cu 0.7500 0.7500 0.7500  4 Ga 2.87, 4 Lu 2.87

***

Record 8
Material: YLuGaCu
Method: DFT, PBE-GGA
State: relaxed

Computed properties:
The magnetization is 0.004 Bohr magnetons per cell. The value obtained for the energy above the most stable polymorph in this dataset is 0.000 eV/atom. Its space group is F-43m, No. 216. For the total energy, the calculation gives -17.47 eV for the cell shown.

Unit cell a=4.9283 b=4.9283 c=4.9283 alpha=60.00 beta=60.00 gamma=60.00
Closest atoms and distances in Å follow each position.
Positions (direct):
1 Y 0.0000 0.0000 0.0000  4 Ga 3.02, 4 Lu 3.02
2 Lu 0.7500 0.7500 0.7500  4 Cu 3.02, 4 Y 3.02
3 Ga 0.2500 0.2500 0.2500  4 Cu 3.02, 4 Y 3.02
4 Cu 0.5000 0.5000 0.5000  4 Lu 3.02, 4 Ga 3.02

***

Record 9
Material: LuZnGaCu
Method: DFT, PBE-GGA
State: relaxed

Computed properties:
The magnetization is 0.001 Bohr magnetons per cell. The value obtained for the energy above the most stable polymorph in this dataset is 0.043 eV/atom. Its space group is F-43m, No. 216. For the total energy, the calculation gives -13.60 eV for the cell shown.

Unit cell a=4.5764 b=4.5764 c=4.5764 alpha=60.00 beta=60.00 gamma=60.00
Closest atoms and distances in Å follow each position.
Positions (direct):
1 Lu 0.0000 0.0000 0.0000  4 Zn 2.80, 4 Ga 2.80
2 Zn 0.7500 0.7500 0.7500  4 Cu 2.80, 4 Lu 2.80
3 Ga 0.2500 0.2500 0.2500  4 Cu 2.80, 4 Lu 2.80
4 Cu 0.5000 0.5000 0.5000  4 Zn 2.80, 4 Ga 2.80

***

Record 10
Material: LuZnGaCu
Method: DFT, PBE-GGA
State: relaxed

Computed properties:
The magnetization is 0.000 Bohr magnetons per cell. The value obtained for the energy above the most stable polymorph in this dataset is 0.000 eV/atom. Its space group is F-43m, No. 216. For the total energy, the calculation gives -13.77 eV for the cell shown.

Unit cell a=4.5535 b=4.5535 c=4.5535 alpha=60.00 beta=60.00 gamma=60.00
Closest atoms and distances in Å follow each position.
Positions (direct):
1 Lu 0.0000 0.0000 0.0000  4 Cu 2.79, 4 Zn 2.79
2 Zn 0.2500 0.2500 0.2500  4 Ga 2.79, 4 Lu 2.79
3 Ga 0.5000 0.5000 0.5000  4 Cu 2.79, 4 Zn 2.79
4 Cu 0.7500 0.7500 0.7500  4 Ga 2.79, 4 Lu 2.79

***

Record 11
Material: MgGaCu2
Method: DFT, PBE-GGA
State: relaxed

Computed properties:
Its space group is Pm-3m, No. 221. For the total energy, the calculation gives -49.79 eV for the cell shown.

Unit cell a=6.1257 b=6.1257 c=6.1257 alpha=90.00 beta=90.00 gamma=90.00
Closest atoms and distances in Å follow each position.
Positions (direct):
1 Mg 0.0000 0.0000 0.0000  8 Cu 2.75, 6 Mg 3.06
2 Mg 0.0000 0.0000 0.5000  8 Cu 2.69
3 Mg 0.0000 0.5000 0.0000  8 Cu 2.69
4 Mg 0.5000 0.0000 0.0000  8 Cu 2.69
5 Ga 0.0000 0.5000 0.5000  8 Cu 2.62
6 Ga 0.5000 0.0000 0.5000  8 Cu 2.62
7 Ga 0.5000 0.5000 0.0000  8 Cu 2.62
8 Ga 0.5000 0.5000 0.5000  8 Cu 2.55
9 Cu 0.2593 0.2593 0.2593  4 Ga 2.55-2.62, 4 Mg 2.69-2.75
10 Cu 0.2593 0.2593 0.7407  4 Ga 2.55-2.62, 4 Mg 2.69-2.75
11 Cu 0.2593 0.7407 0.2593  4 Ga 2.55-2.62, 4 Mg 2.69-2.75
12 Cu 0.2593 0.7407 0.7407  4 Ga 2.55-2.62, 4 Mg 2.69-2.75
13 Cu 0.7407 0.2593 0.2593  4 Ga 2.55-2.62, 4 Mg 2.69-2.75
14 Cu 0.7407 0.2593 0.7407  4 Ga 2.55-2.62, 4 Mg 2.69-2.75
15 Cu 0.7407 0.7407 0.2593  4 Ga 2.55-2.62, 4 Mg 2.69-2.75
16 Cu 0.7407 0.7407 0.7407  4 Ga 2.55-2.62, 4 Mg 2.69-2.75

***

Record 12
Material: MgGa2Cu5
Method: DFT, PBE-GGA
State: relaxed

Computed properties:
Its space group is P4/mmm, No. 123. For the total energy, the calculation gives -27.04 eV for the cell shown.

Unit cell a=4.2171 b=4.2171 c=5.9632 alpha=90.00 beta=90.00 gamma=90.00
Closest atoms and distances in Å follow each position.
Positions (direct):
1 Mg 0.0000 0.0000 0.0000  8 Cu 2.63
2 Ga 0.0000 0.0000 0.5000  8 Cu 2.54
3 Ga 0.5000 0.5000 0.0000  8 Cu 2.63
4 Cu 0.0000 0.5000 0.2624  3 Cu 2.54-2.83, 4 Ga 2.54-2.63, 2 Mg 2.63
5 Cu 0.0000 0.5000 0.7376  3 Cu 2.54-2.83, 4 Ga 2.54-2.63, 2 Mg 2.63
6 Cu 0.5000 0.0000 0.2624  3 Cu 2.54-2.83, 4 Ga 2.54-2.63, 2 Mg 2.63
7 Cu 0.5000 0.0000 0.7376  3 Cu 2.54-2.83, 4 Ga 2.54-2.63, 2 Mg 2.63
8 Cu 0.5000 0.5000 0.5000  8 Cu 2.54